Record 1
A plane-wave DFT calculation with PBE was carried out for an optimized crystal structure of Tb2YGa3AgPd2.

a = 3.744 Å, b = 13.063 Å, c = 7.535 Å
α = 90.00°, β = 90.00°, γ = 90.00°
Space group Amm2 (No. 38)
Symmetry-distinct sites (fractional):
1 Tb 0.000 0.204 0.000 [4 per cell]
2 Y 0.000 0.000 0.612 [2 per cell]
3 Ga 0.500 0.000 0.935 [2 per cell]
4 Ga 0.500 0.134 0.339 [4 per cell]
5 Ag 0.000 0.000 0.204 [2 per cell]
6 Pd 0.500 0.167 0.705 [4 per cell]

Values from the calculation:
M_tot = 0.023 μB per cell
calculated total energy = -89.41 eV for the cell shown

Record 2
A plane-wave DFT calculation with PBE was carried out for an optimized crystal structure of PmGaAg.

a = 6.689 Å, b = 6.689 Å, c = 6.689 Å
α = 90.00°, β = 90.00°, γ = 90.00°
Space group F-43m (No. 216)
Symmetry-distinct sites (fractional):
1 Pm 0.000 0.000 0.000 [4 per cell]
2 Ga 0.250 0.250 0.750 [4 per cell]
3 Ag 0.000 0.000 0.500 [4 per cell]

Values from the calculation:
M_tot = 0.535 μB per cell
polymorph energy (0 for the lowest one) = 0.000 eV per formula unit

Record 3
A plane-wave DFT calculation with PBE was carried out for an optimized crystal structure of Pm3Ga4Ag2.

a = 10.940 Å, b = 4.608 Å, c = 8.693 Å
α = 90.00°, β = 113.01°, γ = 90.00°
Space group C2/m (No. 12)
Symmetry-distinct sites (fractional):
1 Pm 0.000 0.000 0.000 [2 per cell]
2 Pm 0.171 0.500 0.660 [4 per cell]
3 Ga 0.032 0.000 0.369 [4 per cell]
4 Ga 0.241 0.500 0.075 [4 per cell]
5 Ag 0.103 0.500 0.271 [4 per cell]

Values from the calculation:
M_tot = 0.077 μB per cell
calculated total energy = -73.96 eV for the cell shown

Record 4
A plane-wave DFT calculation with PBE was carried out for an optimized crystal structure of PmGaAg.

a = 6.934 Å, b = 6.934 Å, c = 6.934 Å
α = 90.00°, β = 90.00°, γ = 90.00°
Space group F-43m (No. 216)
Symmetry-distinct sites (fractional):
1 Pm 0.000 0.000 0.000 [4 per cell]
2 Ga 0.250 0.250 0.250 [4 per cell]
3 Ag 0.250 0.250 0.750 [4 per cell]

Values from the calculation:
M_tot = 0.036 μB per cell
polymorph energy (0 for the lowest one) = 0.947 eV per formula unit

Record 5
A plane-wave DFT calculation with PBE was carried out for an optimized crystal structure of PrGa2AgPt.

a = 4.383 Å, b = 4.383 Å, c = 10.626 Å
α = 90.00°, β = 90.00°, γ = 90.00°
Space group P4/nmm (No. 129, origin choice 2)
Symmetry-distinct sites (fractional):
1 Pr 0.250 0.250 0.236 [2 per cell]
2 Ga 0.250 0.250 0.643 [2 per cell]
3 Ga 0.250 0.750 0.000 [2 per cell]
4 Ag 0.250 0.750 0.500 [2 per cell]
5 Pt 0.250 0.250 0.875 [2 per cell]

Values from the calculation:
M_tot = 0.026 μB per cell
calculated total energy = -46.60 eV for the cell shown

Record 6
A plane-wave DFT calculation with PBE was carried out for an optimized crystal structure of GaAgPt2.

a = 6.359 Å, b = 6.359 Å, c = 6.359 Å
α = 90.00°, β = 90.00°, γ = 90.00°
Space group F-43m (No. 216)
Symmetry-distinct sites (fractional):
1 Ga 0.000 0.000 0.000 [4 per cell]
2 Ag 0.250 0.250 0.250 [4 per cell]
3 Pt 0.000 0.000 0.500 [4 per cell]
4 Pt 0.250 0.250 0.750 [4 per cell]

Values from the calculation:
M_tot = 0.015 μB per cell
calculated total energy = -74.52 eV for the cell shown

Record 7
A plane-wave DFT calculation with PBE was carried out for an optimized crystal structure of GaAg4Pt.

a = 7.853 Å, b = 8.013 Å, c = 4.499 Å
α = 90.00°, β = 90.00°, γ = 90.00°
Space group Cmmm (No. 65)
Symmetry-distinct sites (fractional):
1 Ga 0.000 0.000 0.000 [2 per cell]
2 Ag 0.000 0.171 0.500 [4 per cell]
3 Ag 0.183 0.500 0.000 [4 per cell]
4 Pt 0.000 0.500 0.500 [2 per cell]

Values from the calculation:
M_tot = 0.006 μB per cell
calculated total energy = -35.20 eV for the cell shown

Record 8
A plane-wave DFT calculation with PBE was carried out for an optimized crystal structure of SmGa2AgPt.

a = 4.316 Å, b = 4.316 Å, c = 10.755 Å
α = 90.00°, β = 90.00°, γ = 90.00°
Space group P4/nmm (No. 129, origin choice 2)
Symmetry-distinct sites (fractional):
1 Sm 0.250 0.250 0.235 [2 per cell]
2 Ga 0.250 0.250 0.645 [2 per cell]
3 Ga 0.250 0.750 0.000 [2 per cell]
4 Ag 0.250 0.750 0.500 [2 per cell]
5 Pt 0.250 0.250 0.873 [2 per cell]

Values from the calculation:
M_tot = 0.030 μB per cell
calculated total energy = -46.38 eV for the cell shown